# ZrIn

A geometry-optimized ZrIn structure (PBE, Alexandria).

a = 3.2121 Å, b = 3.2121 Å, c = 5.1653 Å
α = 90.00°, β = 90.00°, γ = 120.00°
Closest atoms and distances in Å follow each position.
Fractional coordinates of all 2 atoms:
Zr (0.6667, 0.3333, 0.0000)  6 In 3.18, 6 Zr 3.21
In (0.0000, 0.0000, 0.5000)  6 Zr 3.18, 6 In 3.21

Values from the calculation:
Energy of formation from the pure elements: -0.179 eV/atom
Total DFT energy (no corrections): -5.82 eV per atom